(1)
VASP calculation (GGA-PBEsol) on CrRe after structural relaxation.

Computed properties:
Magnetic moment   0.000 μB per cell
VASP energy   -11.740 eV/atom
Space-group type   P4/nmm (129)
N(E_F)   3.65 states/eV/cell

Unit cell a=2.8870 b=2.8870 c=6.1926 alpha=90.00 beta=90.00 gamma=90.00
Positions (direct):
Cr (0.2500, 0.2500, 0.0976)
Cr (0.7500, 0.7500, 0.9024)
Re (0.2500, 0.2500, 0.6397)
Re (0.7500, 0.7500, 0.3603)

(2)
VASP calculation (GGA-PBEsol) on Cr13Re2 after structural relaxation.

Computed properties:
Magnetic moment   0.001 μB per cell
VASP energy   -10.589 eV/atom
Space-group type   P4_2/mnm (136)
N(E_F)   32.83 states/eV/cell

Unit cell a=8.7725 b=8.7725 c=4.5745 alpha=90.00 beta=90.00 gamma=90.00
Positions (direct):
Cr (0.0000, 0.0000, 0.0000)
Cr (0.0325, 0.3766, 0.5000)
Cr (0.0604, 0.2583, 0.0000)
Cr (0.1234, 0.5325, 0.0000)
Cr (0.1862, 0.8138, 0.2556)
Cr (0.1862, 0.8138, 0.7444)
Cr (0.2417, 0.5604, 0.5000)
Cr (0.2583, 0.0604, 0.0000)
Cr (0.3138, 0.3138, 0.2444)
Cr (0.3138, 0.3138, 0.7556)
Cr (0.3766, 0.0325, 0.5000)
Cr (0.4396, 0.7583, 0.5000)
Cr (0.4675, 0.8766, 0.0000)
Cr (0.5000, 0.5000, 0.5000)
Cr (0.5325, 0.1234, 0.0000)
Cr (0.5604, 0.2417, 0.5000)
Cr (0.6234, 0.9675, 0.5000)
Cr (0.6862, 0.6862, 0.2444)
Cr (0.6862, 0.6862, 0.7556)
Cr (0.7417, 0.9396, 0.0000)
Cr (0.7583, 0.4396, 0.5000)
Cr (0.8138, 0.1862, 0.2556)
Cr (0.8138, 0.1862, 0.7444)
Cr (0.8766, 0.4675, 0.0000)
Cr (0.9396, 0.7417, 0.0000)
Cr (0.9675, 0.6234, 0.5000)
Re (0.1058, 0.1058, 0.5000)
Re (0.3942, 0.6058, 0.0000)
Re (0.6058, 0.3942, 0.0000)
Re (0.8942, 0.8942, 0.5000)

(3)
VASP calculation (GGA-PBEsol) on Cr3Re2 after structural relaxation.

Computed properties:
Magnetic moment   0.000 μB per cell
VASP energy   -11.413 eV/atom
Space-group type   P4_2/mnm (136)
N(E_F)   31.01 states/eV/cell

Unit cell a=8.8511 b=8.8511 c=4.8779 alpha=90.00 beta=90.00 gamma=90.00
Positions (direct):
Cr (0.0000, 0.0000, 0.0000)
Cr (0.0327, 0.3796, 0.5000)
Cr (0.0626, 0.2583, 0.0000)
Cr (0.1204, 0.5327, 0.0000)
Cr (0.2417, 0.5626, 0.5000)
Cr (0.2583, 0.0626, 0.0000)
Cr (0.3796, 0.0327, 0.5000)
Cr (0.4374, 0.7583, 0.5000)
Cr (0.4673, 0.8796, 0.0000)
Cr (0.5000, 0.5000, 0.5000)
Cr (0.5327, 0.1204, 0.0000)
Cr (0.5626, 0.2417, 0.5000)
Cr (0.6204, 0.9673, 0.5000)
Cr (0.7417, 0.9374, 0.0000)
Cr (0.7583, 0.4374, 0.5000)
Cr (0.8796, 0.4673, 0.0000)
Cr (0.9374, 0.7417, 0.0000)
Cr (0.9673, 0.6204, 0.5000)
Re (0.1059, 0.1059, 0.5000)
Re (0.1849, 0.8151, 0.2515)
Re (0.1849, 0.8151, 0.7485)
Re (0.3151, 0.3151, 0.2485)
Re (0.3151, 0.3151, 0.7515)
Re (0.3941, 0.6059, 0.0000)
Re (0.6059, 0.3941, 0.0000)
Re (0.6849, 0.6849, 0.2485)
Re (0.6849, 0.6849, 0.7515)
Re (0.8151, 0.1849, 0.2515)
Re (0.8151, 0.1849, 0.7485)
Re (0.8941, 0.8941, 0.5000)

(4)
VASP calculation (GGA-PBEsol) on CrReRh3 after structural relaxation.

Computed properties:
Magnetic moment   4.609 μB per cell
Space-group type   Pm-3m (221)
Polymorph energy (0 for the lowest one)   0.000 kcal/mol of atoms
N(E_F)   4.86 states/eV/cell

Unit cell a=4.6140 b=4.6140 c=4.6140 alpha=90.00 beta=90.00 gamma=90.00
Positions (direct):
Cr (0.0000, 0.0000, 0.0000)
Re (0.5000, 0.5000, 0.5000)
Rh (0.0000, 0.5000, 0.5000)
Rh (0.5000, 0.0000, 0.5000)
Rh (0.5000, 0.5000, 0.0000)